(1)
First-principles (PBE) data for a relaxed structure of Dy2PuPaN4, as listed in the Alexandria database.

a b c (Å): 3.4957 6.0280 6.0350
angles (deg): 109.59 90.00 90.00
Closest atoms and distances in Å follow each position.
Fractional coordinates of all 8 atoms:
Dy (0.5000, 0.0000, 0.5000)  6 N 2.51-2.53
Dy (0.0000, 0.5000, 0.5000)  6 N 2.45-2.48
Pu (0.0000, 0.0000, 0.0000)  6 N 2.46-2.48
Pa (0.5000, 0.5000, 0.0000)  6 N 2.40-2.42
N (0.5000, 0.2549, 0.2414)  1 Pa 2.40, 2 Pu 2.46, 3 Dy 2.48-2.53
N (0.5000, 0.7451, 0.7586)  1 Pa 2.40, 2 Pu 2.46, 3 Dy 2.48-2.53
N (0.0000, 0.2609, 0.7571)  2 Pa 2.42, 3 Dy 2.45-2.51, 1 Pu 2.48
N (0.0000, 0.7391, 0.2429)  2 Pa 2.42, 3 Dy 2.45-2.51, 1 Pu 2.48

As for the raw total energy: -9.875 eV per atom. The value obtained for the uncorrected formation energy is -1.58 eV/atom. As for the symmetry: No. 10. Its calculated density is 11.9 g cm⁻³.


(2)
First-principles (PBE) data for a relaxed structure of Rb2CrCuS4, as listed in the Alexandria database.

a b c (Å): 5.4476 7.2951 12.1720
angles (deg): 85.21 77.07 68.08
Closest atoms and distances in Å follow each position.
Fractional coordinates of all 16 atoms:
Rb (0.1776, 0.0000, 0.6448)  8 S 3.41-3.64
Rb (0.8224, 0.0000, 0.3552)  8 S 3.41-3.64
Rb (0.5724, 0.5000, 0.8552)  8 S 3.41-3.64
Rb (0.9276, 0.5000, 0.1448)  8 S 3.41-3.64
Cr (0.2500, 0.5000, 0.5000)  4 S 2.16
Cr (0.5000, 0.0000, 0.0000)  4 S 2.16
Cu (0.7500, 0.5000, 0.5000)  4 S 2.29
Cu (0.0000, 0.0000, 0.0000)  4 S 2.29
S (0.3099, 0.8156, 0.1041)  1 Cr 2.16, 1 Cu 2.29
S (0.2295, 0.1844, 0.8959)  1 Cr 2.16, 1 Cu 2.29
S (0.8746, 0.8156, 0.8959)  1 Cr 2.16, 1 Cu 2.29
S (0.5860, 0.1844, 0.1041)  1 Cr 2.16, 1 Cu 2.29
S (0.4401, 0.6844, 0.3959)  1 Cr 2.16, 1 Cu 2.29
S (0.5205, 0.3156, 0.6041)  1 Cr 2.16, 1 Cu 2.29
S (0.8754, 0.6844, 0.6041)  1 Cr 2.16, 1 Cu 2.29
S (0.1640, 0.3156, 0.3959)  1 Cr 2.16, 1 Cu 2.29

As for the raw total energy: -4.858 eV per atom. The value obtained for the uncorrected formation energy is -0.84 eV/atom. As for the symmetry: No. 70. Its calculated density is 3.1 g cm⁻³.


(3)
First-principles (PBE) data for a relaxed structure of BaTc2P, as listed in the Alexandria database.

a b c (Å): 3.8926 3.7191 6.3467
angles (deg): 87.80 90.00 90.00
Closest atoms and distances in Å follow each position.
Fractional coordinates of all 4 atoms:
Ba (0.0000, 0.3782, 0.5495)  4 P 3.19-3.24, 1 Tc 3.57
Tc (0.0000, 0.9347, 0.0607)  2 Tc 2.46, 2 P 2.48
Tc (0.5000, 0.3381, 0.0628)  2 P 2.37-2.40, 2 Tc 2.46
P (0.5000, 0.8489, 0.8269)  4 Tc 2.37-2.48

As for the raw total energy: -7.016 eV per atom. Its formation energy from the elements is 0 meV/atom. As for the symmetry: No. 6. Its calculated density is 6.6 g cm⁻³.


(4)
First-principles (PBE) data for a relaxed structure of CrGa, as listed in the Alexandria database.

a b c (Å): 5.0120 5.0120 5.0120
angles (deg): 90.00 90.00 90.00
Closest atoms and distances in Å follow each position.
Fractional coordinates of all 8 atoms:
Cr (0.0000, 0.0000, 0.0000)  6 Ga 2.51
Cr (0.0000, 0.5000, 0.5000)  6 Ga 2.51
Cr (0.5000, 0.0000, 0.5000)  6 Ga 2.51
Cr (0.5000, 0.5000, 0.0000)  6 Ga 2.51
Ga (0.5000, 0.5000, 0.5000)  6 Cr 2.51
Ga (0.5000, 0.0000, 0.0000)  6 Cr 2.51
Ga (0.0000, 0.5000, 0.0000)  6 Cr 2.51
Ga (0.0000, 0.0000, 0.5000)  6 Cr 2.51

As for the raw total energy: -5.754 eV per atom. Its formation energy from the elements is 571 meV/atom. As for the symmetry: No. 225. Its calculated density is 6.4 g cm⁻³.


(5)
First-principles (PBE) data for a relaxed structure of Pu2Zn3CuAu4, as listed in the Alexandria database.

a b c (Å): 4.3690 4.3690 10.6716
angles (deg): 90.00 90.00 90.00
Closest atoms and distances in Å follow each position.
Fractional coordinates of all 10 atoms:
Pu (0.5000, 0.0000, 0.2531)  8 Au 3.32-3.47, 6 Zn 3.35-3.42, 2 Cu 3.42
Pu (0.0000, 0.5000, 0.7469)  8 Au 3.32-3.47, 6 Zn 3.35-3.42, 2 Cu 3.42
Zn (0.0000, 0.0000, 0.5000)  4 Au 2.61
Zn (0.5000, 0.0000, 0.8674)  5 Au 2.50-2.60
Zn (0.0000, 0.5000, 0.1326)  5 Au 2.50-2.60
Cu (0.5000, 0.5000, 0.5000)  4 Au 2.61
Au (0.5000, 0.5000, 0.0000)  4 Zn 2.60
Au (0.0000, 0.0000, 0.0000)  4 Zn 2.60
Au (0.5000, 0.0000, 0.6331)  3 Zn 2.50-2.61, 2 Cu 2.61
Au (0.0000, 0.5000, 0.3669)  3 Zn 2.50-2.61, 2 Cu 2.61

As for the raw total energy: -5.227 eV per atom. Its formation energy from the elements is -258 meV/atom. As for the symmetry: No. 115. Its calculated density is 12.5 g cm⁻³.


(6)
First-principles (PBE) data for a relaxed structure of Ho2UAl2Ru5, as listed in the Alexandria database.

a b c (Å): 3.3870 10.1185 10.1185
angles (deg): 90.00 90.00 90.00
Closest atoms and distances in Å follow each position.
Fractional coordinates of all 20 atoms:
Ho (0.0000, 0.6690, 0.1690)  3 Al 2.91-3.03, 10 Ru 2.95-3.23
Ho (0.0000, 0.3310, 0.8310)  3 Al 2.91-3.03, 10 Ru 2.95-3.23
Ho (0.0000, 0.1690, 0.3310)  3 Al 2.91-3.03, 10 Ru 2.95-3.23
Ho (0.0000, 0.8310, 0.6690)  3 Al 2.91-3.03, 10 Ru 2.95-3.23
U (0.0000, 0.0000, 0.0000)  8 Ru 2.72
U (0.0000, 0.5000, 0.5000)  8 Ru 2.72
Al (0.0000, 0.1273, 0.6273)  6 Ru 2.49-2.51
Al (0.0000, 0.8727, 0.3727)  6 Ru 2.49-2.51
Al (0.0000, 0.6273, 0.8727)  6 Ru 2.49-2.51
Al (0.0000, 0.3727, 0.1273)  6 Ru 2.49-2.51
Ru (0.5000, 0.1989, 0.0688)  2 Al 2.51, 2 U 2.72
Ru (0.5000, 0.8011, 0.9312)  2 Al 2.51, 2 U 2.72
Ru (0.5000, 0.0688, 0.8011)  2 Al 2.51, 2 U 2.72
Ru (0.5000, 0.6989, 0.4312)  2 Al 2.51, 2 U 2.72
Ru (0.5000, 0.9312, 0.1989)  2 Al 2.51, 2 U 2.72
Ru (0.5000, 0.3011, 0.5688)  2 Al 2.51, 2 U 2.72
Ru (0.5000, 0.5688, 0.6989)  2 Al 2.51, 2 U 2.72
Ru (0.5000, 0.4312, 0.3011)  2 Al 2.51, 2 U 2.72
Ru (0.5000, 0.5000, 0.0000)  4 Al 2.49
Ru (0.5000, 0.0000, 0.5000)  4 Al 2.49

As for the raw total energy: -7.977 eV per atom. Its formation energy from the elements is -546 meV/atom. As for the symmetry: No. 127. Its calculated density is 10.8 g cm⁻³.


> raw total energy of number 5 (Pu2Zn3CuAu4)?

-5.227 eV per atom